Record 1
{
  "formula": "CeEr2Hg",
  "functional": "PBE",
  "state": "relaxed",
  "ef_kcal_per_mol_atoms": -3.10,
  "e_tot_ev_per_atom": -3.975,
  "magmom_total_mub_per_cell": 0.7,
  "e_above_lowest_polymorph_mev_per_atom": 60.1,
  "cell": [[-2.573, 1.298, -2.048], [-3.292, 0.278, 1.260], [0.182, 10.201, 3.183]],
  "species": ["Hg", "Ce", "Er", "Er"],
  "frac_coords": [[0.000, 0.000, 0.000], [0.500, 0.500, 0.500], [0.257, 0.257, 0.230], [0.743, 0.743, 0.770]]
}

Record 2
{
  "formula": "CeEr5Hg3",
  "functional": "PBE",
  "state": "relaxed",
  "ef_kcal_per_mol_atoms": -6.17,
  "e_tot_ev_per_atom": -3.562,
  "magmom_total_mub_per_cell": 4.1,
  "cell": [[-6.073, -0.451, 2.940], [0.702, -9.058, 0.061], [3.055, 4.840, 7.054]],
  "species": ["Ce", "Ce", "Er", "Er", "Er", "Er", "Er", "Er", "Er", "Er", "Er", "Er", "Hg", "Hg", "Hg", "Hg", "Hg", "Hg"],
  "frac_coords": [[0.000, 0.000, 0.000], [0.500, 0.000, 0.000], [0.000, 0.667, 0.333], [0.500, 0.333, 0.667], [0.000, 0.333, 0.667], [0.500, 0.667, 0.333], [0.750, 0.674, 0.674], [0.750, 0.000, 0.326], [0.750, 0.326, 0.000], [0.250, 0.326, 0.326], [0.250, 0.000, 0.674], [0.250, 0.674, 0.000], [0.750, 0.345, 0.345], [0.750, 0.000, 0.655], [0.750, 0.655, 0.000], [0.250, 0.655, 0.655], [0.250, 0.000, 0.345], [0.250, 0.345, 0.000]]
}

Record 3
{
  "formula": "CeEr4Hg",
  "functional": "PBE",
  "state": "relaxed",
  "ef_kcal_per_mol_atoms": -0.04,
  "e_tot_ev_per_atom": -4.083,
  "magmom_total_mub_per_cell": 2.0,
  "cell": [[6.202, -0.630, 0.000], [-2.399, 8.428, 0.000], [-1.901, -3.899, 6.961]],
  "species": ["Ce", "Ce", "Er", "Er", "Er", "Er", "Er", "Er", "Er", "Er", "Hg", "Hg"],
  "frac_coords": [[0.358, 0.608, 0.216], [0.642, 0.392, 0.784], [0.038, 0.182, 0.792], [0.764, 0.711, 0.622], [0.254, 0.610, 0.792], [0.358, 0.911, 0.622], [0.642, 0.089, 0.378], [0.746, 0.390, 0.208], [0.236, 0.289, 0.378], [0.962, 0.818, 0.208], [0.250, 0.000, 0.999], [0.750, 0.000, 0.001]]
}

Record 4
{
  "formula": "Ce2ErIn2Hg2",
  "functional": "PBE",
  "state": "relaxed",
  "ef_kcal_per_mol_atoms": -4.74,
  "e_tot_ev_per_atom": -3.421,
  "magmom_total_mub_per_cell": 2.3,
  "cell": [[4.821, 0.000, 0.000], [2.411, 4.175, 0.000], [2.411, 1.392, 9.031]],
  "species": ["Ce", "Ce", "Er", "In", "In", "Hg", "Hg"],
  "frac_coords": [[0.142, 0.142, 0.573], [0.858, 0.858, 0.427], [0.000, 0.000, 0.000], [0.726, 0.726, 0.821], [0.274, 0.274, 0.179], [0.579, 0.579, 0.262], [0.421, 0.421, 0.738]]
}